The following is a DFT calculation (PBE-GGA) of a geometry-optimized SmAg3Br6 structure.

Properties
Theoretical density ... 4133 kg/m3
Uncorrected energy ... -3.215 eV per atom
Total magnetic moment ... 0.0 μB/f.u.

Unit cell a=7.9583 b=7.9624 c=8.2204 alpha=61.36 beta=61.33 gamma=62.70
With the nearest neighbours (Å) after each atom.
Space group P-1 (No. 2)
Symmetry-distinct sites (fractional):
Sm 0.0000 0.0000 0.0000 [1 per cell]  6 Br 2.86-2.89
Ag 0.0000 0.5000 0.0000 [1 per cell]  2 Br 2.57
Ag 0.5000 0.0000 0.0000 [1 per cell]  2 Br 2.57
Ag 0.5000 0.5000 0.5000 [1 per cell]  6 Br 2.81-2.96
Br 0.2236 0.7332 0.7712 [2 per cell]  1 Ag 2.57
Br 0.2502 0.2508 0.7095 [2 per cell]  1 Ag 2.81, 1 Sm 2.86
Br 0.2706 0.7724 0.2249 [2 per cell]  1 Ag 2.57